1.
Below is a geometry-optimized CrTe2PN structure, with properties calculated at the PBE level.

Geometry as CIF:
```
data_CrTe2PN
_chemical_formula_sum 'Cr1 Te2 P1 N1'
_space_group_name_H-M_alt 'P 1'
_space_group_IT_number 1
_cell_length_a 5.5001
_cell_length_b 5.5001
_cell_length_c 3.2975
_cell_angle_alpha 90.00
_cell_angle_beta 90.00
_cell_angle_gamma 90.00
loop_
_space_group_symop_operation_xyz
'x,y,z'
loop_
_atom_site_label
_atom_site_fract_x
_atom_site_fract_y
_atom_site_fract_z
Cr1 0.0000 0.0000 0.0000
Te1 0.0000 0.5000 0.5000
Te2 0.5000 0.0000 0.5000
P1 0.5000 0.5000 0.5000
N1 0.5000 0.5000 0.0000
```

total magnetic moment	4.11	μB per formula unit
space group	P4/mmm (123)

---

2.
Below is a geometry-optimized CrTe2PN structure, with properties calculated at the PBE level.

Geometry as CIF:
```
data_CrTe2PN
_chemical_formula_sum 'Cr1 Te2 P1 N1'
_space_group_name_H-M_alt 'P 1'
_space_group_IT_number 1
_cell_length_a 5.1969
_cell_length_b 5.1969
_cell_length_c 3.5269
_cell_angle_alpha 90.00
_cell_angle_beta 90.00
_cell_angle_gamma 90.00
loop_
_space_group_symop_operation_xyz
'x,y,z'
loop_
_atom_site_label
_atom_site_fract_x
_atom_site_fract_y
_atom_site_fract_z
Cr1 0.0000 0.0000 0.0000
Te1 0.0000 0.5000 0.0000
Te2 0.5000 0.0000 0.0000
P1 0.5000 0.5000 0.5000
N1 0.0000 0.0000 0.5000
```

total magnetic moment	0.00	μB per formula unit
space group	P4/mmm (123)

---

Which of them is most stable? Easy: 2.

---

1.
Below is a geometry-optimized CrPbSe2N structure, with properties calculated at the PBE level.

Geometry as CIF:
```
data_CrPbSe2N
_chemical_formula_sum 'Cr1 Pb1 Se2 N1'
_space_group_name_H-M_alt 'P 1'
_space_group_IT_number 1
_cell_length_a 5.5615
_cell_length_b 5.5615
_cell_length_c 4.1496
_cell_angle_alpha 90.00
_cell_angle_beta 90.00
_cell_angle_gamma 90.00
loop_
_space_group_symop_operation_xyz
'x,y,z'
loop_
_atom_site_label
_atom_site_fract_x
_atom_site_fract_y
_atom_site_fract_z
Cr1 0.0000 0.0000 0.0000
Pb1 0.5000 0.5000 0.5000
Se1 0.0000 0.5000 0.5000
Se2 0.5000 0.0000 0.5000
N1 0.5000 0.5000 0.0000
```

total magnetic moment	0.44	μB per formula unit
space group	P4/mmm (123)

---

2.
Below is a geometry-optimized CrPbSe2N structure, with properties calculated at the PBE level.

Geometry as CIF:
```
data_CrPbSe2N
_chemical_formula_sum 'Cr1 Pb1 Se2 N1'
_space_group_name_H-M_alt 'P 1'
_space_group_IT_number 1
_cell_length_a 5.2797
_cell_length_b 5.2797
_cell_length_c 3.6068
_cell_angle_alpha 90.00
_cell_angle_beta 90.00
_cell_angle_gamma 90.00
loop_
_space_group_symop_operation_xyz
'x,y,z'
loop_
_atom_site_label
_atom_site_fract_x
_atom_site_fract_y
_atom_site_fract_z
Cr1 0.0000 0.0000 0.0000
Pb1 0.5000 0.5000 0.5000
Se1 0.0000 0.5000 0.0000
Se2 0.5000 0.0000 0.0000
N1 0.0000 0.0000 0.5000
```

total magnetic moment	1.21	μB per formula unit
space group	P4/mmm (123)

---

Which of them is most stable? Easy: 2.

---

1.
Below is a geometry-optimized CrTe2PbN structure, with properties calculated at the PBE level.

Geometry as CIF:
```
data_CrTe2PbN
_chemical_formula_sum 'Cr1 Te2 Pb1 N1'
_space_group_name_H-M_alt 'P 1'
_space_group_IT_number 1
_cell_length_a 5.5163
_cell_length_b 5.5163
_cell_length_c 3.5925
_cell_angle_alpha 90.00
_cell_angle_beta 90.00
_cell_angle_gamma 90.00
loop_
_space_group_symop_operation_xyz
'x,y,z'
loop_
_atom_site_label
_atom_site_fract_x
_atom_site_fract_y
_atom_site_fract_z
Cr1 0.0000 0.0000 0.0000
Te1 0.0000 0.5000 0.0000
Te2 0.5000 0.0000 0.0000
Pb1 0.5000 0.5000 0.5000
N1 0.0000 0.0000 0.5000
```

total magnetic moment	1.34	μB per formula unit
space group	P4/mmm (123)

---

2.
Below is a geometry-optimized CrTe2PbN structure, with properties calculated at the PBE level.

Geometry as CIF:
```
data_CrTe2PbN
_chemical_formula_sum 'Cr1 Te2 Pb1 N1'
_space_group_name_H-M_alt 'P 1'
_space_group_IT_number 1
_cell_length_a 6.4389
_cell_length_b 6.4389
_cell_length_c 4.3816
_cell_angle_alpha 90.00
_cell_angle_beta 90.00
_cell_angle_gamma 90.00
loop_
_space_group_symop_operation_xyz
'x,y,z'
loop_
_atom_site_label
_atom_site_fract_x
_atom_site_fract_y
_atom_site_fract_z
Cr1 0.0000 0.0000 0.0000
Te1 0.0000 0.5000 0.5000
Te2 0.5000 0.0000 0.5000
Pb1 0.5000 0.5000 0.5000
N1 0.5000 0.5000 0.0000
```

total magnetic moment	2.02	μB per formula unit
space group	P4/mmm (123)

---

Which of them is most stable? Easy: 1.

---

1.
Below is a geometry-optimized CrPdS2N structure, with properties calculated at the PBE level.

Geometry as CIF:
```
data_CrPdS2N
_chemical_formula_sum 'Cr1 Pd1 S2 N1'
_space_group_name_H-M_alt 'P 1'
_space_group_IT_number 1
_cell_length_a 4.8353
_cell_length_b 4.8353
_cell_length_c 3.6688
_cell_angle_alpha 90.00
_cell_angle_beta 90.00
_cell_angle_gamma 90.00
loop_
_space_group_symop_operation_xyz
'x,y,z'
loop_
_atom_site_label
_atom_site_fract_x
_atom_site_fract_y
_atom_site_fract_z
Cr1 0.0000 0.0000 0.0000
Pd1 0.5000 0.5000 0.5000
S1 0.0000 0.5000 0.5000
S2 0.5000 0.0000 0.5000
N1 0.5000 0.5000 0.0000
```

total magnetic moment	0.24	μB per formula unit
space group	P4/mmm (123)

---

2.
Below is a geometry-optimized CrPdS2N structure, with properties calculated at the PBE level.

Geometry as CIF:
```
data_CrPdS2N
_chemical_formula_sum 'Cr1 Pd1 S2 N1'
_space_group_name_H-M_alt 'P 1'
_space_group_IT_number 1
_cell_length_a 4.6497
_cell_length_b 4.6497
_cell_length_c 3.4814
_cell_angle_alpha 90.00
_cell_angle_beta 90.00
_cell_angle_gamma 90.00
loop_
_space_group_symop_operation_xyz
'x,y,z'
loop_
_atom_site_label
_atom_site_fract_x
_atom_site_fract_y
_atom_site_fract_z
Cr1 0.0000 0.0000 0.0000
Pd1 0.5000 0.5000 0.5000
S1 0.0000 0.5000 0.0000
S2 0.5000 0.0000 0.0000
N1 0.0000 0.0000 0.5000
```

total magnetic moment	0.54	μB per formula unit
space group	P4/mmm (123)

---

Which of them is most stable? Easy: 2.

---

1.
Below is a geometry-optimized CrPdSN2 structure, with properties calculated at the PBE level.

Geometry as CIF:
```
data_CrPdSN2
_chemical_formula_sum 'Cr1 Pd1 S1 N2'
_space_group_name_H-M_alt 'P 1'
_space_group_IT_number 1
_cell_length_a 3.6014
_cell_length_b 3.6014
_cell_length_c 5.0798
_cell_angle_alpha 90.00
_cell_angle_beta 90.00
_cell_angle_gamma 90.00
loop_
_space_group_symop_operation_xyz
'x,y,z'
loop_
_atom_site_label
_atom_site_fract_x
_atom_site_fract_y
_atom_site_fract_z
Cr1 0.0000 0.0000 0.0000
Pd1 0.5000 0.5000 0.5000
S1 0.0000 0.0000 0.5000
N1 0.0000 0.5000 0.0000
N2 0.5000 0.0000 0.0000
```

total magnetic moment	0.50	μB per formula unit
space group	P4/mmm (123)

---

2.
Below is a geometry-optimized CrPdSN2 structure, with properties calculated at the PBE level.

Geometry as CIF:
```
data_CrPdSN2
_chemical_formula_sum 'Cr1 Pd1 S1 N2'
_space_group_name_H-M_alt 'P 1'
_space_group_IT_number 1
_cell_length_a 3.9201
_cell_length_b 3.9201
_cell_length_c 5.0232
_cell_angle_alpha 90.00
_cell_angle_beta 90.00
_cell_angle_gamma 90.00
loop_
_space_group_symop_operation_xyz
'x,y,z'
loop_
_atom_site_label
_atom_site_fract_x
_atom_site_fract_y
_atom_site_fract_z
Cr1 0.0000 0.0000 0.0000
Pd1 0.5000 0.5000 0.5000
S1 0.5000 0.5000 0.0000
N1 0.0000 0.5000 0.5000
N2 0.5000 0.0000 0.5000
```

total magnetic moment	0.94	μB per formula unit
space group	P4/mmm (123)

---

Which of them is most stable? Easy: 1.

---

1.
Below is a geometry-optimized CrTePdN2 structure, with properties calculated at the PBE level.

Geometry as CIF:
```
data_CrTePdN2
_chemical_formula_sum 'Cr1 Te1 Pd1 N2'
_space_group_name_H-M_alt 'P 1'
_space_group_IT_number 1
_cell_length_a 3.9893
_cell_length_b 3.9893
_cell_length_c 5.9714
_cell_angle_alpha 90.00
_cell_angle_beta 90.00
_cell_angle_gamma 90.00
loop_
_space_group_symop_operation_xyz
'x,y,z'
loop_
_atom_site_label
_atom_site_fract_x
_atom_site_fract_y
_atom_site_fract_z
Cr1 0.0000 0.0000 0.0000
Te1 0.5000 0.5000 0.0000
Pd1 0.5000 0.5000 0.5000
N1 0.0000 0.5000 0.5000
N2 0.5000 0.0000 0.5000
```

total magnetic moment	7.72	μB per formula unit
space group	P4/mmm (123)

---

2.
Below is a geometry-optimized CrTePdN2 structure, with properties calculated at the PBE level.

Geometry as CIF:
```
data_CrTePdN2
_chemical_formula_sum 'Cr1 Te1 Pd1 N2'
_space_group_name_H-M_alt 'P 1'
_space_group_IT_number 1
_cell_length_a 3.7311
_cell_length_b 3.7311
_cell_length_c 5.7731
_cell_angle_alpha 90.00
_cell_angle_beta 90.00
_cell_angle_gamma 90.00
loop_
_space_group_symop_operation_xyz
'x,y,z'
loop_
_atom_site_label
_atom_site_fract_x
_atom_site_fract_y
_atom_site_fract_z
Cr1 0.0000 0.0000 0.0000
Te1 0.0000 0.0000 0.5000
Pd1 0.5000 0.5000 0.5000
N1 0.0000 0.5000 0.0000
N2 0.5000 0.0000 0.0000
```

total magnetic moment	0.51	μB per formula unit
space group	P4/mmm (123)

---

Which of them is most stable? Easy: 2.

---

1.
Below is a geometry-optimized Ti2CrPdN structure, with properties calculated at the PBE level.

Geometry as CIF:
```
data_Ti2CrPdN
_chemical_formula_sum 'Ti2 Cr1 Pd1 N1'
_space_group_name_H-M_alt 'P 1'
_space_group_IT_number 1
_cell_length_a 4.8650
_cell_length_b 4.8650
_cell_length_c 3.6789
_cell_angle_alpha 90.00
_cell_angle_beta 90.00
_cell_angle_gamma 90.00
loop_
_space_group_symop_operation_xyz
'x,y,z'
loop_
_atom_site_label
_atom_site_fract_x
_atom_site_fract_y
_atom_site_fract_z
Ti1 0.0000 0.5000 0.0000
Ti2 0.5000 0.0000 0.0000
Cr1 0.0000 0.0000 0.5000
Pd1 0.5000 0.5000 0.0000
N1 0.5000 0.5000 0.5000
```

total magnetic moment	0.79	μB per formula unit
space group	P4/mmm (123)

---

2.
Below is a geometry-optimized Ti2CrPdN structure, with properties calculated at the PBE level.

Geometry as CIF:
```
data_Ti2CrPdN
_chemical_formula_sum 'Ti2 Cr1 Pd1 N1'
_space_group_name_H-M_alt 'P 1'
_space_group_IT_number 1
_cell_length_a 4.1688
_cell_length_b 4.1688
_cell_length_c 3.7436
_cell_angle_alpha 90.00
_cell_angle_beta 90.00
_cell_angle_gamma 90.00
loop_
_space_group_symop_operation_xyz
'x,y,z'
loop_
_atom_site_label
_atom_site_fract_x
_atom_site_fract_y
_atom_site_fract_z
Ti1 0.0000 0.5000 0.0000
Ti2 0.5000 0.0000 0.0000
Cr1 0.0000 0.0000 0.5000
Pd1 0.5000 0.5000 0.5000
N1 0.0000 0.0000 0.0000
```

total magnetic moment	0.47	μB per formula unit
space group	P4/mmm (123)

---

Which of them is most stable? Easy: 2.

---

1.
Below is a geometry-optimized Pr2CrN4 structure, with properties calculated at the PBE level.

Geometry as CIF:
```
data_Pr2CrN4
_chemical_formula_sum 'Pr8 Cr4 N16'
_space_group_name_H-M_alt 'P 1'
_space_group_IT_number 1
_cell_length_a 7.2602
_cell_length_b 5.5135
_cell_length_c 10.0253
_cell_angle_alpha 90.00
_cell_angle_beta 90.00
_cell_angle_gamma 90.00
loop_
_space_group_symop_operation_xyz
'x,y,z'
loop_
_atom_site_label
_atom_site_fract_x
_atom_site_fract_y
_atom_site_fract_z
Pr1 0.0172 0.2500 0.1883
Pr2 0.1523 0.7500 0.4267
Pr3 0.3477 0.2500 0.9267
Pr4 0.4828 0.7500 0.6883
Pr5 0.5172 0.2500 0.3117
Pr6 0.6523 0.7500 0.0733
Pr7 0.8477 0.2500 0.5733
Pr8 0.9828 0.7500 0.8117
Cr1 0.2257 0.7500 0.0736
Cr2 0.2743 0.2500 0.5736
Cr3 0.7257 0.7500 0.4264
Cr4 0.7743 0.2500 0.9264
N1 0.0127 0.2500 0.9134
N2 0.1755 0.5048 0.6432
N3 0.1755 0.9952 0.6432
N4 0.2057 0.2500 0.4063
N5 0.2943 0.7500 0.9063
N6 0.3245 0.0048 0.1432
N7 0.3245 0.4952 0.1432
N8 0.4873 0.7500 0.4134
N9 0.5127 0.2500 0.5866
N10 0.6755 0.5048 0.8568
N11 0.6755 0.9952 0.8568
N12 0.7057 0.2500 0.0937
N13 0.7943 0.7500 0.5937
N14 0.8245 0.0048 0.3568
N15 0.8245 0.4952 0.3568
N16 0.9873 0.7500 0.0866
```

total magnetic moment	0.00	μB per formula unit
space group	Pnma (62)

---

2.
Below is a geometry-optimized Pr2CrN4 structure, with properties calculated at the PBE level.

Geometry as CIF:
```
data_Pr2CrN4
_chemical_formula_sum 'Pr4 Cr2 N8'
_space_group_name_H-M_alt 'P 1'
_space_group_IT_number 1
_cell_length_a 5.6909
_cell_length_b 5.5069
_cell_length_c 7.1055
_cell_angle_alpha 90.00
_cell_angle_beta 108.11
_cell_angle_gamma 90.00
loop_
_space_group_symop_operation_xyz
'x,y,z'
loop_
_atom_site_label
_atom_site_fract_x
_atom_site_fract_y
_atom_site_fract_z
Pr1 0.2107 0.2500 0.0337
Pr2 0.2772 0.2500 0.5604
Pr3 0.7228 0.7500 0.4396
Pr4 0.7893 0.7500 0.9663
Cr1 0.2306 0.7500 0.7929
Cr2 0.7694 0.2500 0.2071
N1 0.0304 0.5043 0.7334
N2 0.0304 0.9957 0.7334
N3 0.3872 0.7500 0.0451
N4 0.4366 0.7500 0.6536
N5 0.5634 0.2500 0.3464
N6 0.6128 0.2500 0.9549
N7 0.9696 0.0043 0.2666
N8 0.9696 0.4957 0.2666
```

total magnetic moment	0.00	μB per formula unit
space group	P2_1/m (11)

---

3.
Below is a geometry-optimized Pr2CrN4 structure, with properties calculated at the PBE level.

Geometry as CIF:
```
data_Pr2CrN4
_chemical_formula_sum 'Pr4 Cr2 N8'
_space_group_name_H-M_alt 'P 1'
_space_group_IT_number 1
_cell_length_a 3.7600
_cell_length_b 3.7600
_cell_length_c 12.8652
_cell_angle_alpha 90.00
_cell_angle_beta 90.00
_cell_angle_gamma 90.00
loop_
_space_group_symop_operation_xyz
'x,y,z'
loop_
_atom_site_label
_atom_site_fract_x
_atom_site_fract_y
_atom_site_fract_z
Pr1 0.0000 0.0000 0.1456
Pr2 0.0000 0.0000 0.8544
Pr3 0.5000 0.5000 0.3544
Pr4 0.5000 0.5000 0.6456
Cr1 0.0000 0.0000 0.5000
Cr2 0.5000 0.5000 0.0000
N1 0.0000 0.0000 0.3364
N2 0.0000 0.0000 0.6636
N3 0.0000 0.5000 0.0000
N4 0.0000 0.5000 0.5000
N5 0.5000 0.0000 0.0000
N6 0.5000 0.0000 0.5000
N7 0.5000 0.5000 0.1636
N8 0.5000 0.5000 0.8364
```

total magnetic moment	0.08	μB per formula unit
space group	I4/mmm (139)

---

Which of them is most stable? Easy: 1.